No. 1
A relaxed structure of AlCuN. Source: the Alexandria database, functional PBE.

Computed properties:
- Formation energy (no corrections): -0.395 eV per atom
- Total magnetic moment: 0.0 Bohr magnetons per cell
- Space group: Pmmn (59)
- Offset from the most stable computed form: 25 meV/atom

Cell and atoms, written as extended XYZ:
```
6
Lattice="3.190 0.000 0.000 0.000 3.947 0.000 0.000 0.000 5.464" Properties=species:S:1:pos:R:3 pbc="T T T"
Al 0.797 0.987 0.550
Al 2.392 2.960 4.914
Cu 0.797 2.960 2.484
Cu 2.392 0.987 2.980
N 0.797 2.960 0.501
N 2.392 0.987 4.963
```

=====

No. 2
A relaxed structure of KDy4Se5. Source: the Alexandria database, functional PBE.

Computed properties:
- Formation energy (no corrections): -1.719 eV per atom
- Total magnetic moment: 0.0 Bohr magnetons per cell
- Space group: C2/m (12)

Cell and atoms, written as extended XYZ:
```
10
Lattice="6.977 -2.050 0.000 6.977 2.050 0.000 -5.156 0.000 8.906" Properties=species:S:1:pos:R:3 pbc="T T T"
K 0.000 0.000 0.000
Dy -1.278 0.000 6.999
Dy 2.608 0.000 5.327
Dy 6.190 0.000 3.579
Dy 10.075 0.000 1.907
Se -2.578 0.000 4.453
Se 1.205 0.000 2.804
Se 4.834 0.000 0.950
Se 3.964 0.000 7.956
Se 7.593 0.000 6.102
```

=====

No. 3
A relaxed structure of Er2Zn3Au5. Source: the Alexandria database, functional PBE.

Computed properties:
- Total magnetic moment: 0.0 Bohr magnetons per cell
- Space group: Ibam (72)
- E_form: -4.8 eV/f.u.

Cell and atoms, written as extended XYZ:
```
20
Lattice="-5.756 5.959 2.899 5.756 -5.959 2.899 5.756 5.959 -2.899" Properties=species:S:1:pos:R:3 pbc="T T T"
Er 2.531 1.605 0.000
Er 2.531 -1.605 2.899
Er 3.225 7.564 0.000
Er 3.225 4.354 2.899
Zn 4.384 -4.277 2.899
Zn 5.756 0.000 1.449
Zn 4.384 4.277 0.000
Zn 1.373 1.681 2.899
Zn 0.000 5.959 1.449
Zn 1.373 10.236 0.000
Au 5.756 -2.668 1.449
Au 7.720 1.106 0.000
Au 0.000 0.000 1.449
Au 1.963 4.853 0.000
Au 5.756 2.668 1.449
Au 0.000 3.290 1.449
Au 3.793 1.106 2.899
Au 0.000 0.000 4.348
Au -1.963 4.853 2.899
Au 0.000 8.627 1.449
```

=====

> Look up the total magnetic moment of the third one.

0.0 Bohr magnetons per cell

=====

> total magnetic moment of number 1 (AlCuN)?

0.0 Bohr magnetons per cell